# Nd4DyCu5 GGA-PBE optimized geometry
data_Nd4DyCu5
_space_group_name_H-M_alt 'P 4/m m m'
_space_group_IT_number 123
_space_group_name_Hall '-P 4 2'
_cell_length_a 3.547
_cell_length_b 3.547
_cell_length_c 18.036
_cell_angle_alpha 90.00
_cell_angle_beta 90.00
_cell_angle_gamma 90.00
loop_
_atom_site_label
_atom_site_type_symbol
_atom_site_fract_x
_atom_site_fract_y
_atom_site_fract_z
Nd1 Nd 0.000 0.000 0.101
Nd2 Nd 0.000 0.000 0.304
Dy1 Dy 0.000 0.000 0.500
Cu1 Cu 0.500 0.500 0.000
Cu2 Cu 0.500 0.500 0.202
Cu3 Cu 0.500 0.500 0.409
# Formation energy from the elements, meV/atom: -163